Below is an optimized crystal structure of Rb2Fe3F9, with properties calculated at the GGA+U level.

Output
Total magnetization: 13.00 μB per formula unit
Raw total energy: -5.133 eV/atom
Calculated volume: 466 Å³ per cell
SG: No. 15

Cell and atoms, written as POSCAR:
```
Rb2Fe3F9
1.0
1.4228 -7.6078 1.2598
7.2836 -0.3802 2.8800
-6.3222 5.7648 5.4880
Rb Fe F
4 6 18
Direct
0.4589 0.2674 0.7411
0.5411 0.7326 0.2589
0.0263 0.7178 0.7589
0.9737 0.2822 0.2411
0.5000 0.0000 0.0000
0.5000 0.5000 0.5000
0.8450 0.1745 0.5064
0.1550 0.8255 0.4936
0.1680 0.3385 0.9936
0.8320 0.6615 0.0064
0.3606 0.9475 0.7547
0.6394 0.0525 0.2453
0.6928 0.6059 0.7453
0.3072 0.3941 0.2547
0.5111 0.7295 0.9640
0.4889 0.2705 0.0360
0.2655 0.5471 0.5360
0.7345 0.4529 0.4640
0.0613 0.3113 0.7500
0.9387 0.6887 0.2500
0.2276 0.0501 0.9787
0.7724 0.9499 0.0213
0.5714 0.2489 0.5213
0.4286 0.7511 0.4787
0.9084 0.9110 0.5378
0.0916 0.0890 0.4622
0.8732 0.3706 0.9622
0.1268 0.6294 0.0378
```